[1]
# SmHfMo (PBE, relaxed)
data_SmHfMo
_cell_length_a 4.7086
_cell_length_b 4.7086
_cell_length_c 4.7086
_cell_angle_alpha 60.00
_cell_angle_beta 60.00
_cell_angle_gamma 60.00
_space_group_name_H-M_alt 'P 1'
_space_group_IT_number 1
_space_group_name_Hall 'P 1'
loop_
_atom_site_label
_atom_site_type_symbol
_atom_site_fract_x
_atom_site_fract_y
_atom_site_fract_z
Sm1 Sm 0.0000 0.0000 0.0000
Hf1 Hf 0.7500 0.7500 0.7500
Mo1 Mo 0.2500 0.2500 0.2500
# Calculated formation energy ... 1.469 eV/atom

[2]
Material: HfSn2Mo
Method: DFT, PBE
State: relaxed

```
data_HfSn2Mo
_cell_length_a 4.8958
_cell_length_b 4.8958
_cell_length_c 4.8958
_cell_angle_alpha 60.00
_cell_angle_beta 60.00
_cell_angle_gamma 60.00
_space_group_name_H-M_alt 'P 1'
_space_group_IT_number 1
_space_group_name_Hall 'P 1'
loop_
_atom_site_label
_atom_site_type_symbol
_atom_site_fract_x
_atom_site_fract_y
_atom_site_fract_z
Hf1 Hf 0.0000 0.0000 0.0000
Sn1 Sn 0.5000 0.5000 0.5000
Sn2 Sn 0.7500 0.7500 0.7500
Mo1 Mo 0.2500 0.2500 0.2500
```

[3]
Material: Hf2SnMo2
Method: DFT, PBE
State: relaxed

```
data_Hf2SnMo2
_cell_length_a 6.6220
_cell_length_b 6.6220
_cell_length_c 6.6220
_cell_angle_alpha 142.16
_cell_angle_beta 142.16
_cell_angle_gamma 54.59
_space_group_name_H-M_alt 'P 1'
_space_group_IT_number 1
_space_group_name_Hall 'P 1'
loop_
_atom_site_label
_atom_site_type_symbol
_atom_site_fract_x
_atom_site_fract_y
_atom_site_fract_z
Hf1 Hf 0.2500 0.7500 0.5000
Hf2 Hf 0.7500 0.2500 0.5000
Sn1 Sn 0.0000 0.0000 0.0000
Mo1 Mo 0.4015 0.4015 0.0000
Mo2 Mo 0.5985 0.5985 0.0000
```

[4]
Material: Hf2Sn2Mo
Method: DFT, PBE
State: relaxed

```
data_Hf2Sn2Mo
_cell_length_a 8.1701
_cell_length_b 8.1701
_cell_length_c 8.1701
_cell_angle_alpha 152.89
_cell_angle_beta 152.89
_cell_angle_gamma 38.72
_space_group_name_H-M_alt 'P 1'
_space_group_IT_number 1
_space_group_name_Hall 'P 1'
loop_
_atom_site_label
_atom_site_type_symbol
_atom_site_fract_x
_atom_site_fract_y
_atom_site_fract_z
Hf1 Hf 0.0930 0.0930 0.0000
Hf2 Hf 0.9070 0.9070 0.0000
Sn1 Sn 0.2500 0.7500 0.5000
Sn2 Sn 0.7500 0.2500 0.5000
Mo1 Mo 0.5000 0.5000 0.0000
```

[5]
# HfSnMo (PBE, relaxed)
data_HfSnMo
_cell_length_a 4.5944
_cell_length_b 4.5944
_cell_length_c 4.5944
_cell_angle_alpha 60.00
_cell_angle_beta 60.00
_cell_angle_gamma 60.00
_space_group_name_H-M_alt 'P 1'
_space_group_IT_number 1
_space_group_name_Hall 'P 1'
loop_
_atom_site_label
_atom_site_type_symbol
_atom_site_fract_x
_atom_site_fract_y
_atom_site_fract_z
Hf1 Hf 0.0000 0.0000 0.0000
Sn1 Sn 0.5000 0.5000 0.5000
Mo1 Mo 0.2500 0.2500 0.2500
# Excess energy over the best structure of this formula in the dataset ... 0.0 meV per atom

[6]
# SrHfMo (PBE, relaxed)
data_SrHfMo
_cell_length_a 4.9379
_cell_length_b 4.9379
_cell_length_c 4.9379
_cell_angle_alpha 60.00
_cell_angle_beta 60.00
_cell_angle_gamma 60.00
_space_group_name_H-M_alt 'P 1'
_space_group_IT_number 1
_space_group_name_Hall 'P 1'
loop_
_atom_site_label
_atom_site_type_symbol
_atom_site_fract_x
_atom_site_fract_y
_atom_site_fract_z
Sr1 Sr 0.0000 0.0000 0.0000
Hf1 Hf 0.7500 0.7500 0.7500
Mo1 Mo 0.2500 0.2500 0.2500
# Excess energy over the best structure of this formula in the dataset ... 961.4 meV per atom

[7]
Material: SrHfMo2
Method: DFT, PBE
State: relaxed

```
data_SrHfMo2
_cell_length_a 4.8605
_cell_length_b 4.8605
_cell_length_c 4.8605
_cell_angle_alpha 60.00
_cell_angle_beta 60.00
_cell_angle_gamma 60.00
_space_group_name_H-M_alt 'P 1'
_space_group_IT_number 1
_space_group_name_Hall 'P 1'
loop_
_atom_site_label
_atom_site_type_symbol
_atom_site_fract_x
_atom_site_fract_y
_atom_site_fract_z
Sr1 Sr 0.0000 0.0000 0.0000
Hf1 Hf 0.2500 0.2500 0.2500
Mo1 Mo 0.5000 0.5000 0.5000
Mo2 Mo 0.7500 0.7500 0.7500
```

[8]
Material: Sr2HfMo
Method: DFT, PBE
State: relaxed

```
data_Sr2HfMo
_cell_length_a 5.2910
_cell_length_b 5.2910
_cell_length_c 5.2910
_cell_angle_alpha 60.00
_cell_angle_beta 60.00
_cell_angle_gamma 60.00
_space_group_name_H-M_alt 'P 1'
_space_group_IT_number 1
_space_group_name_Hall 'P 1'
loop_
_atom_site_label
_atom_site_type_symbol
_atom_site_fract_x
_atom_site_fract_y
_atom_site_fract_z
Sr1 Sr 0.0000 0.0000 0.0000
Sr2 Sr 0.2500 0.2500 0.2500
Hf1 Hf 0.7500 0.7500 0.7500
Mo1 Mo 0.5000 0.5000 0.5000
```

| no. | E_tot (eV/atom) |
| --- | --- |
| 1 | -7.0356 |
| 2 | -6.8728 |
| 3 | -8.4577 |
| 4 | -7.3130 |
| 5 | -7.8618 |
| 6 | -5.3378 |
| 7 | -7.4218 |
| 8 | -5.0969 |